Below is a PBEsol-optimized structure of Mg2InAu, with properties calculated at the meta-GGA SCAN level.

## Properties
For the uncorrected energy, the calculation gives -28.561 eV per atom. Its symmetry is P4/mmm. The value obtained for the formation energy is -438.2 meV/atom.

a = 4.0214 Å, b = 4.3889 Å, c = 4.3889 Å
α = 90.00°, β = 90.00°, γ = 90.00°
Fractional coordinates of all 4 atoms:
Mg 0.0000 0.0000 0.5000
Mg 0.0000 0.5000 0.0000
In 0.5000 0.0000 0.0000
Au 0.5000 0.5000 0.5000

Below is a PBEsol-optimized structure of BaScCo, with properties calculated at the meta-GGA SCAN level.

## Properties
For the uncorrected energy, the calculation gives -22.210 eV per atom. Its symmetry is F-43m. The value obtained for the formation energy is 1486.7 meV/atom.

a = 4.5927 Å, b = 4.5927 Å, c = 4.5927 Å
α = 60.00°, β = 60.00°, γ = 60.00°
Fractional coordinates of all 3 atoms:
Co 0.0000 0.0000 0.0000
Sc 0.5000 0.5000 0.5000
Ba 0.2500 0.2500 0.2500

Below is a PBEsol-optimized structure of Cd24In5, with properties calculated at the meta-GGA SCAN level.

## Properties
For the uncorrected energy, the calculation gives -30.879 eV per atom. Its symmetry is I-43m. The value obtained for the formation energy is 47.6 meV/atom.

a = 9.3892 Å, b = 9.3892 Å, c = 9.3892 Å
α = 109.47°, β = 109.47°, γ = 109.47°
Fractional coordinates of all 29 atoms:
In 0.0000 0.0000 0.0000
In 0.0000 0.3497 0.0000
In 0.0000 0.0000 0.3497
In 0.6503 0.6503 0.6503
In 0.3497 0.0000 0.0000
Cd 0.6143 0.8091 0.0000
Cd 0.1909 0.1909 0.8052
Cd 0.2687 0.6860 0.6860
Cd 0.8091 0.6143 0.0000
Cd 0.0000 0.5827 0.3140
Cd 0.3140 0.5827 0.0000
Cd 0.4173 0.7313 0.4173
Cd 0.8091 0.0000 0.6143
Cd 0.6860 0.2687 0.6860
Cd 0.0000 0.8091 0.6143
Cd 0.0000 0.3140 0.5827
Cd 0.6860 0.6860 0.2687
Cd 0.3857 0.3857 0.1948
Cd 0.5827 0.0000 0.3140
Cd 0.0000 0.6143 0.8091
Cd 0.3140 0.0000 0.5827
Cd 0.1948 0.3857 0.3857
Cd 0.4173 0.4173 0.7313
Cd 0.7313 0.4173 0.4173
Cd 0.8052 0.1909 0.1909
Cd 0.1909 0.8052 0.1909
Cd 0.3857 0.1948 0.3857
Cd 0.6143 0.0000 0.8091
Cd 0.5827 0.3140 0.0000

Below is a PBEsol-optimized structure of ZnCrPt, with properties calculated at the meta-GGA SCAN level.

## Properties
For the uncorrected energy, the calculation gives -34.277 eV per atom. Its symmetry is P-6m2. The value obtained for the formation energy is -245.7 meV/atom.

a = 2.6106 Å, b = 4.2484 Å, c = 4.2484 Å
α = 120.00°, β = 90.00°, γ = 90.00°
Fractional coordinates of all 3 atoms:
Pt 0.5011 0.3333 0.6667
Cr 0.0002 0.0000 0.0000
Zn 0.4986 0.6667 0.3333

Below is a PBEsol-optimized structure of LiLaPb2, with properties calculated at the meta-GGA SCAN level.

## Properties
For the uncorrected energy, the calculation gives -49.848 eV per atom. Its symmetry is I4/mmm. The value obtained for the formation energy is -584.2 meV/atom.

a = 4.9126 Å, b = 4.9126 Å, c = 5.7009 Å
α = 115.52°, β = 115.52°, γ = 90.00°
Fractional coordinates of all 4 atoms:
Pb 0.2500 0.7500 0.5000
Pb 0.7500 0.2500 0.5000
La 0.5000 0.5000 0.0000
Li 0.0000 0.0000 0.0000

Below is a PBEsol-optimized structure of Sr3MnRuO7, with properties calculated at the meta-GGA SCAN level.

## Properties
For the uncorrected energy, the calculation gives -16.137 eV per atom. Its symmetry is I4mm. Its uncorrected formation energy is -2510 meV per atom.

a = 3.8250 Å, b = 3.8250 Å, c = 10.5078 Å
α = 100.49°, β = 100.49°, γ = 90.00°
Fractional coordinates of all 12 atoms:
O 0.8033 0.8033 0.6065
O 0.5963 0.0963 0.1925
O 0.0029 0.0029 0.0058
O 0.9029 0.4029 0.8057
O 0.4029 0.9029 0.8057
O 0.1918 0.1918 0.3836
O 0.0963 0.5963 0.1925
Mn 0.0990 0.0990 0.1980
Sr 0.3120 0.3120 0.6239
Sr 0.5071 0.5071 0.0143
Sr 0.6818 0.6818 0.3636
Ru 0.9038 0.9038 0.8077

Below is a PBEsol-optimized structure of HfZnRe3, with properties calculated at the meta-GGA SCAN level.

## Properties
For the uncorrected energy, the calculation gives -56.369 eV per atom. Its symmetry is Pm-3m. The value obtained for the formation energy is 1526.7 meV/atom.

a = 4.4524 Å, b = 4.4524 Å, c = 4.4524 Å
α = 90.00°, β = 90.00°, γ = 90.00°
Fractional coordinates of all 5 atoms:
Re 0.0000 0.5000 0.0000
Re 0.5000 0.0000 0.0000
Re 0.0000 0.0000 0.5000
Zn 0.0000 0.0000 0.0000
Hf 0.5000 0.5000 0.5000

Below is a PBEsol-optimized structure of MnAlNi2, with properties calculated at the meta-GGA SCAN level.

## Properties
For the uncorrected energy, the calculation gives -15.184 eV per atom. Its symmetry is I4/mmm. The value obtained for the formation energy is -595.7 meV/atom.

a = 3.7835 Å, b = 4.2004 Å, c = 3.7835 Å
α = 63.23°, β = 90.00°, γ = 116.77°
Fractional coordinates of all 4 atoms:
Mn 0.0000 0.0000 0.0000
Ni 0.7500 0.5000 0.7500
Ni 0.2500 0.5000 0.2500
Al 0.5000 0.0000 0.5000

Below is a PBEsol-optimized structure of Co2SiTc, with properties calculated at the meta-GGA SCAN level.

## Properties
For the uncorrected energy, the calculation gives -19.968 eV per atom. Its symmetry is Cm. Its uncorrected formation energy is -47 meV per atom.

a = 2.5905 Å, b = 4.2991 Å, c = 4.3729 Å
α = 101.53°, β = 90.00°, γ = 107.53°
Fractional coordinates of all 4 atoms:
Co 0.2430 0.4859 0.7315
Co 0.9993 0.9986 0.0035
Si 0.5057 0.0113 0.5403
Tc 0.7521 0.5041 0.2247

Below is a PBEsol-optimized structure of BaHfAg3, with properties calculated at the meta-GGA SCAN level.

## Properties
For the uncorrected energy, the calculation gives -38.867 eV per atom. Its symmetry is Pm-3m. The value obtained for the formation energy is 398.1 meV/atom.

a = 5.2587 Å, b = 5.2587 Å, c = 5.2587 Å
α = 90.00°, β = 90.00°, γ = 90.00°
Fractional coordinates of all 5 atoms:
Ag 0.0000 0.5000 0.0000
Ag 0.5000 0.0000 0.0000
Ag 0.0000 0.0000 0.5000
Hf 0.0000 0.0000 0.0000
Ba 0.5000 0.5000 0.5000

Below is a PBEsol-optimized structure of DySI, with properties calculated at the meta-GGA SCAN level.

## Properties
For the uncorrected energy, the calculation gives -33.401 eV per atom. Its symmetry is Pmmn. Its uncorrected formation energy is -2012 meV per atom.

a = 4.1102 Å, b = 5.2995 Å, c = 9.3650 Å
α = 90.00°, β = 90.00°, γ = 90.00°
Fractional coordinates of all 6 atoms:
Dy 0.5000 0.5000 0.8817
Dy 0.0000 0.0000 0.1183
S 0.5000 0.0000 0.9304
S 0.0000 0.5000 0.0696
I 0.5000 0.0000 0.3533
I 0.0000 0.5000 0.6467

Below is a PBEsol-optimized structure of Cd2CoPb, with properties calculated at the meta-GGA SCAN level.

## Properties
For the uncorrected energy, the calculation gives -38.127 eV per atom. Its symmetry is I4/mmm. The value obtained for the formation energy is 351.3 meV/atom.

a = 4.0524 Å, b = 4.0524 Å, c = 5.4215 Å
α = 111.95°, β = 111.95°, γ = 90.00°
Fractional coordinates of all 4 atoms:
Cd 0.2500 0.7500 0.5000
Cd 0.7500 0.2500 0.5000
Pb 0.0000 0.0000 0.0000
Co 0.5000 0.5000 0.0000

Below is a PBEsol-optimized structure of Li2MgHg, with properties calculated at the meta-GGA SCAN level.

## Properties
For the uncorrected energy, the calculation gives -19.848 eV per atom. Its symmetry is I4/mmm. The value obtained for the formation energy is -368.4 meV/atom. The energy above the most stable polymorph in this dataset is 0.048 eV/atom.

a = 4.1481 Å, b = 4.1481 Å, c = 5.0817 Å
α = 114.09°, β = 114.09°, γ = 90.00°
Fractional coordinates of all 4 atoms:
Hg 0.5000 0.5000 0.0000
Li 0.2500 0.7500 0.5000
Li 0.7500 0.2500 0.5000
Mg 0.0000 0.0000 0.0000

Below is a PBEsol-optimized structure of BaAl2O4, with properties calculated at the meta-GGA SCAN level.

## Properties
For the uncorrected energy, the calculation gives -14.783 eV per atom. Its symmetry is P6_322. Its uncorrected formation energy is -3358 meV per atom.

a = 5.2010 Å, b = 5.2010 Å, c = 8.9016 Å
α = 90.00°, β = 90.00°, γ = 120.00°
Fractional coordinates of all 14 atoms:
Al 0.6667 0.3333 0.0536
Al 0.6667 0.3333 0.4464
Al 0.3333 0.6667 0.9464
Al 0.3333 0.6667 0.5536
O 0.3498 0.3498 0.0000
O 0.6502 0.0000 0.0000
O 0.3498 0.0000 0.5000
O 0.0000 0.3498 0.5000
O 0.3333 0.6667 0.7500
O 0.6667 0.3333 0.2500
O 0.6502 0.6502 0.5000
O 0.0000 0.6502 0.0000
Ba 0.0000 0.0000 0.7500
Ba 0.0000 0.0000 0.2500